No. 1
This record from Alexandria via LeMat-Bulk describes a relaxed structure of Ca2AlCdIn. The functional is GGA-PBE.

```
Ca2AlCdIn
1.0
5.828 0.000 0.000
0.000 4.985 0.000
0.000 0.000 5.828
Ca In Cd Al
2 1 1 1
direct
0.000 0.000 0.500
0.500 0.000 0.000
0.500 0.500 0.500
0.000 0.500 0.000
0.000 0.000 0.000
```

## Properties
**DFT formation energy**: 0.51 eV/f.u.
**Spin magnetization**: 0.000 μB per formula unit

=====

No. 2
This record from Alexandria via LeMat-Bulk describes a relaxed structure of SrCd2In2Ag2. The functional is GGA-PBE.

```
SrCd2In2Ag2
1.0
-3.592 1.208 2.935
-4.408 0.674 -1.759
-4.494 -7.948 1.684
Ag Cd In Sr
2 2 2 1
direct
0.564 0.564 0.309
0.436 0.436 0.691
0.139 0.139 0.582
0.861 0.861 0.418
0.257 0.257 0.229
0.743 0.743 0.771
0.000 0.000 0.000
```

## Properties
**DFT formation energy**: -1.19 eV/f.u.
**Spin magnetization**: 0.000 μB per formula unit

=====

No. 3
This record from Alexandria via LeMat-Bulk describes a relaxed structure of Mn2Al4Ir. The functional is GGA-PBE.

```
Mn2Al4Ir
1.0
5.798 0.518 4.216
3.141 5.831 2.493
1.239 0.510 7.014
Al Mn Ir
8 4 2
direct
0.344 0.541 0.790
0.377 0.817 0.941
0.879 0.098 0.574
0.829 0.285 0.157
0.424 0.948 0.462
0.887 0.810 0.423
0.889 0.389 0.703
0.381 0.108 0.076
0.373 0.405 0.217
0.347 0.693 0.370
0.856 0.686 0.859
0.367 0.232 0.660
0.923 0.975 0.961
0.872 0.511 0.306
```

## Properties
**DFT formation energy**: -2.56 eV/f.u.
**Spin magnetization**: 4.993 μB per formula unit

=====

No. 4
This record from Alexandria via LeMat-Bulk describes a relaxed structure of AcB5C2. The functional is GGA-PBE.

```
AcB5C2
1.0
-4.469 -2.927 2.145
0.041 -4.863 1.174
-0.270 -1.849 4.641
B Ac C
5 1 2
direct
0.623 0.170 0.585
0.377 0.830 0.415
0.000 0.500 0.500
0.623 0.585 0.170
0.377 0.415 0.830
0.000 0.000 0.000
0.765 0.735 0.735
0.235 0.265 0.265
```

## Properties
**DFT formation energy**: 4.47 eV/f.u.
**Spin magnetization**: 0.000 μB per formula unit